# 1
# PBE-GGA BaZnP2Ir, optimized geometry
# Energy = -51.57 eV per cell
data_BaZnP2Ir
_chemical_formula_sum 'Ba2 Zn2 P4 Ir2'
_space_group_name_H-M_alt 'I -4 m 2'
_space_group_IT_number 119
_space_group_name_Hall 'I -4 -2'
_cell_length_a 4.0461
_cell_length_b 4.0461
_cell_length_c 12.5176
_cell_angle_alpha 90.00
_cell_angle_beta 90.00
_cell_angle_gamma 90.00
loop_
_atom_site_label
_atom_site_type_symbol
_atom_site_fract_x
_atom_site_fract_y
_atom_site_fract_z
_atom_site_occupancy
Ba1 Ba 0.0000 0.0000 0.0000 1
Zn1 Zn 0.0000 0.5000 0.7500 1
P1 P 0.0000 0.0000 0.3555 1
Ir1 Ir 0.0000 0.5000 0.2500 1


# 2
# PBE-GGA BaPaIr2, optimized geometry
# Energy = -28.76 eV per cell
data_BaPaIr2
_chemical_formula_sum 'Ba1 Pa1 Ir2'
_space_group_name_H-M_alt 'P -6 m 2'
_space_group_IT_number 187
_space_group_name_Hall 'P -6 2'
_cell_length_a 3.8040
_cell_length_b 3.8040
_cell_length_c 9.4492
_cell_angle_alpha 90.00
_cell_angle_beta 90.00
_cell_angle_gamma 120.00
loop_
_atom_site_label
_atom_site_type_symbol
_atom_site_fract_x
_atom_site_fract_y
_atom_site_fract_z
_atom_site_occupancy
Ba1 Ba 0.0000 0.0000 0.0000 1
Pa1 Pa 0.6667 0.3333 0.5000 1
Ir1 Ir 0.0000 0.0000 0.3260 1


# 3
# PBE-GGA BaPaIr, optimized geometry
# Energy above the lowest structure with this stoichiometry = 0.00 kJ per mole of atoms
# Energy = -77.57 eV per cell
data_BaPaIr
_chemical_formula_sum 'Ba4 Pa4 Ir4'
_space_group_name_H-M_alt 'F -4 3 m'
_space_group_IT_number 216
_space_group_name_Hall 'F -4 2 3'
_cell_length_a 7.1032
_cell_length_b 7.1032
_cell_length_c 7.1032
_cell_angle_alpha 90.00
_cell_angle_beta 90.00
_cell_angle_gamma 90.00
loop_
_atom_site_label
_atom_site_type_symbol
_atom_site_fract_x
_atom_site_fract_y
_atom_site_fract_z
_atom_site_occupancy
Ba1 Ba 0.0000 0.0000 0.0000 1
Pa1 Pa 0.0000 0.0000 0.5000 1
Ir1 Ir 0.2500 0.2500 0.2500 1